Record 1
Density functional theory data (GGA-PBE) for a relaxed structure of PmPu2O6.

Cell: 3.858 3.858 9.240 Å, 90.00 90.00 120.00°
Fractional positions:
Pm1 0.000 0.000 0.000
Pu1 0.333 0.667 0.664
Pu2 0.667 0.333 0.336
O1 0.000 0.000 0.271
O2 0.000 0.000 0.729
O3 0.333 0.667 0.419
O4 0.333 0.667 0.898
O5 0.667 0.333 0.102
O6 0.667 0.333 0.581

For the density of states at the Fermi level, the calculation gives 7.70 states/eV/cell. For the raw formation energy, the calculation gives -3138 meV/atom. Its space-group type is No. 164.

Record 2
Density functional theory data (GGA-PBE) for a relaxed structure of Rb2NaHg.

Cell: 11.941 11.941 11.941 Å, 22.79 22.79 22.79°
Fractional positions:
Rb1 0.000 0.000 0.000
Rb2 0.190 0.190 0.190
Na1 0.762 0.762 0.762
Hg1 0.595 0.595 0.595

For the density of states at the Fermi level, the calculation gives 3.31 states/eV/cell. The formation energy comes out at -20 meV per atom. Its space-group type is No. 160.

> Which formula does entry 2 have?

Rb2NaHg